Record 1
A plane-wave DFT calculation with meta-GGA SCAN was carried out for a PBEsol-optimized structure of HgPdAu2S.

Cell lengths 4.935, 4.935, 4.960 Å; angles 90.00, 90.00, 90.00 degrees
Space group P4/mmm (No. 123)
Unique sites:
Hg 0.000 0.000 0.000 (multiplicity 1)
Pd 0.000 0.000 0.500 (multiplicity 1)
Au 0.000 0.500 0.500 (multiplicity 2)
S 0.500 0.500 0.000 (multiplicity 1)

For the volume, the calculation gives 24.2 Å³ per atom. As for the formation energy without anion corrections: 4.67 eV per formula unit.

Record 2
A plane-wave DFT calculation with meta-GGA SCAN was carried out for a PBEsol-optimized structure of Rb2NaBi2.

Cell lengths 8.428, 8.428, 5.808 Å; angles 90.00, 90.00, 90.00 degrees
Space group P4/mbm (No. 127)
Unique sites:
Rb 0.169 0.331 0.000 (multiplicity 4)
Na 0.000 0.000 0.500 (multiplicity 2)
Bi 0.126 0.626 0.500 (multiplicity 4)

For the total DFT energy (no corrections), the calculation gives -409.19 eV/cell. For the volume, the calculation gives 41.3 Å³ per atom.

Record 3
A plane-wave DFT calculation with meta-GGA SCAN was carried out for a PBEsol-optimized structure of LaYSe.

Cell lengths 6.791, 6.791, 6.791 Å; angles 90.00, 90.00, 90.00 degrees
Space group F-43m (No. 216)
Unique sites:
La 0.000 0.000 0.000 (multiplicity 4)
Y 0.250 0.250 0.750 (multiplicity 4)
Se 0.000 0.000 0.500 (multiplicity 4)

For the volume, the calculation gives 26.1 Å³ per atom. As for the formation energy without anion corrections: -0.26 eV per formula unit.

Record 4
A plane-wave DFT calculation with meta-GGA SCAN was carried out for a PBEsol-optimized structure of ZrTcMo.

Cell lengths 4.4379, 4.4379, 2.8838 Å; angles 90.00, 90.00, 120.00 degrees
Space group P3m1 (No. 156)
Unique sites:
Zr 0.0000 0.0000 0.0000 (multiplicity 1)
Tc 0.6667 0.3333 0.6583 (multiplicity 1)
Mo 0.3333 0.6667 0.3483 (multiplicity 1)

For the volume, the calculation gives 16.4 Å³ per atom. The calculation puts the energy above the lowest structure with this stoichiometry at 0.41 eV per formula unit.